Computed, not measured: KSrHg2 after structural relaxation at the GGA-PBEsol level of DFT.

Cell lengths 4.380, 4.380, 9.139 Å; angles 76.13, 76.13, 60.00 degrees
Atoms (fractional coordinates):
Hg 0.744 0.744 0.767
Hg 0.256 0.256 0.233
K 0.500 0.500 0.500
Sr 0.000 0.000 0.000

## Properties
- Symmetry: R-3m
- DOS at the Fermi energy: 3.3 states/eV/f.u.
- Energy relative to the elements: -0.23 eV/atom

Computed, not measured: CsLiMoRu2 after structural relaxation at the GGA-PBEsol level of DFT.

Cell lengths 4.373, 4.373, 4.545 Å; angles 90.00, 90.00, 90.00 degrees
Atoms (fractional coordinates):
Li 0.000 0.000 0.000
Ru 0.500 0.000 0.000
Ru 0.000 0.500 0.000
Cs 0.000 0.000 0.500
Mo 0.500 0.500 0.500

## Properties
- Symmetry: P4/mmm
- DOS at the Fermi energy: 7.9 states/eV/f.u.
- Energy relative to the elements: 2.20 eV/atom

Computed, not measured: Al2CuSi2O7F2 after structural relaxation at the GGA-PBEsol level of DFT.

Cell lengths 4.769, 8.888, 14.074 Å; angles 90.00, 90.00, 90.00 degrees
Atoms (fractional coordinates):
O 0.034 0.757 0.647
O 0.197 0.965 0.144
O 0.034 0.757 0.853
O 0.303 0.465 0.144
O 0.700 0.013 0.442
O 0.803 0.035 0.644
O 0.966 0.243 0.353
O 0.966 0.243 0.147
O 0.466 0.257 0.647
O 0.200 0.487 0.558
O 0.800 0.513 0.058
O 0.246 0.976 0.750
O 0.697 0.535 0.856
O 0.697 0.535 0.644
O 0.534 0.743 0.353
O 0.534 0.743 0.147
O 0.754 0.024 0.250
O 0.746 0.524 0.250
O 0.300 0.987 0.942
O 0.200 0.487 0.942
O 0.197 0.965 0.356
O 0.303 0.465 0.356
O 0.700 0.013 0.058
O 0.466 0.257 0.853
O 0.800 0.513 0.442
O 0.803 0.035 0.856
O 0.300 0.987 0.558
O 0.254 0.476 0.750
F 0.896 0.254 0.532
F 0.396 0.246 0.468
F 0.896 0.254 0.968
F 0.104 0.746 0.032
F 0.604 0.754 0.968
F 0.104 0.746 0.468
F 0.396 0.246 0.032
F 0.604 0.754 0.532
Si 0.905 0.061 0.353
Si 0.405 0.439 0.853
Si 0.095 0.939 0.853
Si 0.595 0.561 0.353
Si 0.905 0.061 0.147
Si 0.095 0.939 0.647
Si 0.405 0.439 0.647
Si 0.595 0.561 0.147
Al 0.596 0.131 0.550
Al 0.404 0.869 0.450
Al 0.096 0.369 0.050
Al 0.904 0.631 0.550
Al 0.404 0.869 0.050
Al 0.904 0.631 0.950
Al 0.596 0.131 0.950
Al 0.096 0.369 0.450
Cu 0.363 0.855 0.250
Cu 0.863 0.645 0.750
Cu 0.637 0.145 0.750
Cu 0.137 0.355 0.250

## Properties
- Symmetry: Pnma
- ΔE_f (raw): -2.71 eV/atom

Computed, not measured: CaCoRe2 after structural relaxation at the GGA-PBEsol level of DFT.

Cell lengths 3.091, 4.764, 5.176 Å; angles 117.40, 107.37, 90.00 degrees
Atoms (fractional coordinates):
Re 0.004 0.004 0.008
Re 0.280 0.780 0.561
Co 0.723 0.223 0.445
Ca 0.493 0.493 0.986

## Properties
- Symmetry: Imm2
- DOS at the Fermi energy: 4.3 states/eV/f.u.
- Distance to the lowest polymorph of the same formula: 0.30 eV/f.u.
- Energy relative to the elements: 0.73 eV/atom